The following is a DFT calculation (PBE-GGA) of a geometry-optimized NaInFe2P structure.

abc: 4.9702 4.9702 5.1355
angles: 90.00 90.00 90.00
Closest atoms and distances in Å follow each position.
Fractional coordinates of all 5 atoms:
Na (0.0000, 0.0000, 0.0000)  4 P 3.51, 8 Fe 3.57
In (0.5000, 0.5000, 0.5000)  4 Fe 2.49, 2 P 2.57
Fe (0.0000, 0.5000, 0.5000)  2 In 2.49
Fe (0.5000, 0.0000, 0.5000)  2 In 2.49
P (0.5000, 0.5000, 0.0000)  2 In 2.57

As for the density of states at the Fermi level: 11.16 states/eV per cell. For the energy relative to the elements, the calculation gives 1.193 eV per atom. For the total energy, the calculation gives -20.4 eV/f.u.


The following is a DFT calculation (PBE-GGA) of a geometry-optimized Na2ScInFe structure.

abc: 5.0023 5.0023 5.0206
angles: 90.00 90.00 90.00
Closest atoms and distances in Å follow each position.
Fractional coordinates of all 5 atoms:
Na (0.0000, 0.5000, 0.0000)  2 Fe 2.50
Na (0.5000, 0.0000, 0.0000)  2 Fe 2.50
Sc (0.0000, 0.0000, 0.5000)  4 In 3.54, 8 Na 3.54
In (0.5000, 0.5000, 0.5000)  2 Fe 2.51
Fe (0.5000, 0.5000, 0.0000)  4 Na 2.50, 2 In 2.51

As for the density of states at the Fermi level: 7.62 states/eV per cell. For the energy relative to the elements, the calculation gives 0.885 eV per atom. For the total energy, the calculation gives -15.7 eV/f.u.


The following is a DFT calculation (PBE-GGA) of a geometry-optimized Na2InFeSi structure.

abc: 5.4544 5.4544 4.4614
angles: 90.00 90.00 90.00
Closest atoms and distances in Å follow each position.
Fractional coordinates of all 5 atoms:
Na (0.0000, 0.5000, 0.0000)  2 Si 2.73
Na (0.5000, 0.0000, 0.0000)  2 Si 2.73
In (0.0000, 0.0000, 0.5000)  8 Na 3.52, 4 Fe 3.86
Fe (0.5000, 0.5000, 0.5000)  2 Si 2.23
Si (0.5000, 0.5000, 0.0000)  2 Fe 2.23

As for the density of states at the Fermi level: 3.69 states/eV per cell. For the total energy, the calculation gives -16.9 eV/f.u. The raw formation energy is 0.47 eV per atom.


The following is a DFT calculation (PBE-GGA) of a geometry-optimized NaInFeSn2 structure.

abc: 5.0175 5.0175 5.0946
angles: 90.00 90.00 90.00
Closest atoms and distances in Å follow each position.
Fractional coordinates of all 5 atoms:
Na (0.0000, 0.0000, 0.0000)  4 In 3.55, 8 Sn 3.58
In (0.5000, 0.5000, 0.0000)  2 Fe 2.55
Fe (0.5000, 0.5000, 0.5000)  4 Sn 2.51, 2 In 2.55
Sn (0.0000, 0.5000, 0.5000)  2 Fe 2.51
Sn (0.5000, 0.0000, 0.5000)  2 Fe 2.51

As for the density of states at the Fermi level: 1.23 states/eV per cell. For the energy relative to the elements, the calculation gives 0.032 eV per atom. For the total energy, the calculation gives -20.4 eV/f.u.


The following is a DFT calculation (PBE-GGA) of a geometry-optimized NaIn2FeSn structure.

abc: 5.0541 5.0541 4.9293
angles: 90.00 90.00 90.00
Closest atoms and distances in Å follow each position.
Fractional coordinates of all 5 atoms:
Na (0.0000, 0.0000, 0.0000)  8 In 3.53, 4 Sn 3.57
In (0.0000, 0.5000, 0.5000)  2 Fe 2.53
In (0.5000, 0.0000, 0.5000)  2 Fe 2.53
Fe (0.5000, 0.5000, 0.5000)  2 Sn 2.46, 4 In 2.53
Sn (0.5000, 0.5000, 0.0000)  2 Fe 2.46

As for the density of states at the Fermi level: 1.58 states/eV per cell. For the energy relative to the elements, the calculation gives 0.021 eV per atom. For the total energy, the calculation gives -19.2 eV/f.u.


The following is a DFT calculation (PBE-GGA) of a geometry-optimized NaInFe2Te structure.

abc: 4.9415 4.9415 5.4474
angles: 90.00 90.00 90.00
Closest atoms and distances in Å follow each position.
Fractional coordinates of all 5 atoms:
Na (0.0000, 0.0000, 0.0000)  2 In 2.72
In (0.0000, 0.0000, 0.5000)  4 Fe 2.47, 2 Na 2.72
Fe (0.0000, 0.5000, 0.5000)  2 In 2.47
Fe (0.5000, 0.0000, 0.5000)  2 In 2.47
Te (0.5000, 0.5000, 0.0000)  4 Na 3.49, 8 Fe 3.68

As for the density of states at the Fermi level: 6.48 states/eV per cell. For the total energy, the calculation gives -19.4 eV/f.u. The raw formation energy is 0.94 eV per atom.


The following is a DFT calculation (PBE-GGA) of a geometry-optimized NaInFe2W structure.

abc: 4.4486 4.4486 5.3929
angles: 90.00 90.00 90.00
Closest atoms and distances in Å follow each position.
Fractional coordinates of all 5 atoms:
Na (0.0000, 0.0000, 0.0000)  2 W 2.70
In (0.5000, 0.5000, 0.0000)  4 Na 3.15, 8 Fe 3.50
Fe (0.0000, 0.5000, 0.5000)  2 W 2.22
Fe (0.5000, 0.0000, 0.5000)  2 W 2.22
W (0.0000, 0.0000, 0.5000)  4 Fe 2.22

As for the density of states at the Fermi level: 6.54 states/eV per cell. For the energy relative to the elements, the calculation gives 1.522 eV per atom. For the total energy, the calculation gives -26.3 eV/f.u.


The following is a DFT calculation (PBE-GGA) of a geometry-optimized NaYIn2Fe structure.

abc: 5.1273 5.1273 5.3642
angles: 90.00 90.00 90.00
Closest atoms and distances in Å follow each position.
Fractional coordinates of all 5 atoms:
Na (0.0000, 0.0000, 0.0000)  4 In 2.56, 2 Y 2.68
Y (0.0000, 0.0000, 0.5000)  2 Na 2.68
In (0.0000, 0.5000, 0.0000)  2 Na 2.56
In (0.5000, 0.0000, 0.0000)  2 Na 2.56
Fe (0.5000, 0.5000, 0.5000)  4 Y 3.63, 8 In 3.71

As for the density of states at the Fermi level: 4.86 states/eV per cell. For the energy relative to the elements, the calculation gives 1.066 eV per atom. For the total energy, the calculation gives -16.4 eV/f.u.


The following is a DFT calculation (PBE-GGA) of a geometry-optimized Nb2InFe structure.

abc: 7.3841 7.3841 5.3947
angles: 90.00 90.00 90.00
Closest atoms and distances in Å follow each position.
Fractional coordinates of all 16 atoms:
Nb (0.1866, 0.2500, 0.1250)  2 Fe 2.40
Nb (0.2500, 0.6866, 0.3750)  2 Fe 2.40
Nb (0.2500, 0.8134, 0.8750)  2 Fe 2.40
Nb (0.3134, 0.2500, 0.6250)  2 Fe 2.40
Nb (0.6866, 0.7500, 0.6250)  2 Fe 2.40
Nb (0.7500, 0.1866, 0.8750)  2 Fe 2.40
Nb (0.7500, 0.3134, 0.3750)  2 Fe 2.40
Nb (0.8134, 0.7500, 0.1250)  2 Fe 2.40
In (0.0000, 0.0000, 0.5000)  2 Fe 2.70
In (0.0000, 0.5000, 0.7500)  2 Fe 2.70
In (0.5000, 0.0000, 0.2500)  2 Fe 2.70
In (0.5000, 0.5000, 0.0000)  2 Fe 2.70
Fe (0.0000, 0.0000, 0.0000)  4 Nb 2.40
Fe (0.0000, 0.5000, 0.2500)  4 Nb 2.40
Fe (0.5000, 0.0000, 0.7500)  4 Nb 2.40
Fe (0.5000, 0.5000, 0.5000)  4 Nb 2.40

As for the density of states at the Fermi level: 17.03 states/eV per cell. For the energy relative to the elements, the calculation gives 0.374 eV per atom. For the total energy, the calculation gives -29.8 eV/f.u.


The following is a DFT calculation (PBE-GGA) of a geometry-optimized NbInFe structure.

abc: 3.1148 3.1148 10.4917
angles: 90.00 90.00 90.00
Closest atoms and distances in Å follow each position.
Fractional coordinates of all 6 atoms:
Nb (0.0000, 0.0000, 0.0000)  4 Fe 2.58
Nb (0.5000, 0.5000, 0.5000)  4 Fe 2.58
In (0.0000, 0.0000, 0.7040)  4 Fe 2.82, 5 Nb 3.07-3.11, 4 In 3.11
In (0.5000, 0.5000, 0.2040)  4 Fe 2.82, 5 Nb 3.07-3.11, 4 In 3.11
Fe (0.0000, 0.0000, 0.3726)  4 Nb 2.58, 4 In 2.82
Fe (0.5000, 0.5000, 0.8726)  4 Nb 2.58, 4 In 2.82

As for the density of states at the Fermi level: 6.39 states/eV per cell. For the energy relative to the elements, the calculation gives 0.077 eV per atom. For the total energy, the calculation gives -21.0 eV/f.u.


The following is a DFT calculation (PBE-GGA) of a geometry-optimized NbInFe2 structure.

abc: 3.1017 3.1017 6.1371
angles: 90.00 90.00 90.00
Closest atoms and distances in Å follow each position.
Fractional coordinates of all 4 atoms:
Nb (0.0000, 0.0000, 0.0000)  8 Fe 2.61
In (0.0000, 0.0000, 0.5000)  8 Fe 2.75, 2 Nb 3.07
Fe (0.5000, 0.5000, 0.2291)  4 Nb 2.61, 4 In 2.75, 1 Fe 2.81
Fe (0.5000, 0.5000, 0.7709)  4 Nb 2.61, 4 In 2.75, 1 Fe 2.81

As for the density of states at the Fermi level: 1.34 states/eV per cell. For the energy relative to the elements, the calculation gives 0.053 eV per atom. For the total energy, the calculation gives -29.5 eV/f.u.


The following is a DFT calculation (PBE-GGA) of a geometry-optimized Nb6InFe structure.

abc: 5.2179 5.2179 5.2179
angles: 89.95 89.95 89.95
Closest atoms and distances in Å follow each position.
Fractional coordinates of all 8 atoms:
Nb (0.0001, 0.4999, 0.2593)  2 Nb 2.51-2.71
Nb (0.9999, 0.5001, 0.7407)  2 Nb 2.51-2.71
Nb (0.2593, 0.0001, 0.4999)  2 Nb 2.51-2.71
Nb (0.4999, 0.2593, 0.0001)  2 Nb 2.51-2.71
Nb (0.5001, 0.7407, 0.9999)  2 Nb 2.51-2.71
Nb (0.7407, 0.9999, 0.5001)  2 Nb 2.51-2.71
In (0.0000, 0.0000, 0.0000)  12 Nb 2.94
Fe (0.5000, 0.5000, 0.5000)  12 Nb 2.89-2.90

As for the density of states at the Fermi level: 6.16 states/eV per cell. For the energy relative to the elements, the calculation gives 0.010 eV per atom. For the total energy, the calculation gives -71.5 eV/f.u.


The following is a DFT calculation (PBE-GGA) of a geometry-optimized NbInFe2 structure.

abc: 6.8053 6.8053 5.6350
angles: 90.00 90.00 90.00
Closest atoms and distances in Å follow each position.
Fractional coordinates of all 16 atoms:
Nb (0.0000, 0.0000, 0.0000)  4 Fe 2.36
Nb (0.0000, 0.5000, 0.2500)  4 Fe 2.36
Nb (0.5000, 0.0000, 0.7500)  4 Fe 2.36
Nb (0.5000, 0.5000, 0.5000)  4 Fe 2.36
In (0.0000, 0.0000, 0.5000)  4 Fe 2.66, 2 Nb 2.82
In (0.0000, 0.5000, 0.7500)  4 Fe 2.66, 2 Nb 2.82
In (0.5000, 0.0000, 0.2500)  4 Fe 2.66, 2 Nb 2.82
In (0.5000, 0.5000, 0.0000)  4 Fe 2.66, 2 Nb 2.82
Fe (0.2179, 0.7500, 0.1250)  2 Nb 2.36
Fe (0.2500, 0.2179, 0.8750)  2 Nb 2.36
Fe (0.2500, 0.2821, 0.3750)  2 Nb 2.36
Fe (0.2821, 0.7500, 0.6250)  2 Nb 2.36
Fe (0.7179, 0.2500, 0.6250)  2 Nb 2.36
Fe (0.7500, 0.7179, 0.3750)  2 Nb 2.36
Fe (0.7500, 0.7821, 0.8750)  2 Nb 2.36
Fe (0.7821, 0.2500, 0.1250)  2 Nb 2.36

As for the density of states at the Fermi level: 11.78 states/eV per cell. For the energy relative to the elements, the calculation gives 0.709 eV per atom. For the total energy, the calculation gives -26.9 eV/f.u.


The following is a DFT calculation (PBE-GGA) of a geometry-optimized Nb2InFe structure.

abc: 3.6434 3.6434 20.3507
angles: 90.00 90.00 120.00
Closest atoms and distances in Å follow each position.
Fractional coordinates of all 12 atoms:
Nb (0.0000, 0.0000, 0.2245)  3 Fe 2.41
Nb (0.0000, 0.0000, 0.7755)  3 Fe 2.41
Nb (0.3333, 0.6667, 0.4422)  3 Fe 2.41
Nb (0.3333, 0.6667, 0.8912)  3 Fe 2.41
Nb (0.6667, 0.3333, 0.1088)  3 Fe 2.41
Nb (0.6667, 0.3333, 0.5578)  3 Fe 2.41
In (0.0000, 0.0000, 0.0000)  6 Nb 3.05
In (0.3333, 0.6667, 0.6667)  6 Nb 3.05
In (0.6667, 0.3333, 0.3333)  6 Nb 3.05
Fe (0.0000, 0.0000, 0.5000)  6 Nb 2.41
Fe (0.3333, 0.6667, 0.1667)  6 Nb 2.41
Fe (0.6667, 0.3333, 0.8333)  6 Nb 2.41

As for the density of states at the Fermi level: 10.43 states/eV per cell. For the energy relative to the elements, the calculation gives 0.325 eV per atom. For the total energy, the calculation gives -30.0 eV/f.u.


The following is a DFT calculation (PBE-GGA) of a geometry-optimized Nb2InFe structure.

abc: 2.9175 2.9175 8.0034
angles: 90.00 90.00 90.00
Closest atoms and distances in Å follow each position.
Fractional coordinates of all 4 atoms:
Nb (0.0000, 0.0000, 0.2059)  4 Fe 2.64, 4 Nb 2.92
Nb (0.0000, 0.0000, 0.7941)  4 Fe 2.64, 4 Nb 2.92
In (0.5000, 0.5000, 0.5000)  4 In 2.92, 8 Nb 3.13
Fe (0.5000, 0.5000, 0.0000)  8 Nb 2.64, 4 Fe 2.92

As for the density of states at the Fermi level: 2.47 states/eV per cell. For the energy relative to the elements, the calculation gives -0.002 eV per atom. For the total energy, the calculation gives -31.3 eV/f.u.


The following is a DFT calculation (PBE-GGA) of a geometry-optimized Nb6In3Fe structure.

abc: 5.9962 5.9962 7.0427
angles: 104.77 104.77 60.19
Closest atoms and distances in Å follow each position.
Fractional coordinates of all 10 atoms:
Nb (0.1217, 0.6286, 0.6363)  1 Fe 2.38
Nb (0.3104, 0.3104, 0.2014)  1 Fe 2.42
Nb (0.3714, 0.8783, 0.3637)  1 Fe 2.38
Nb (0.6286, 0.1217, 0.6363)  1 Fe 2.38
Nb (0.6896, 0.6896, 0.7986)  1 Fe 2.42
Nb (0.8783, 0.3714, 0.3637)  1 Fe 2.38
In (0.0000, 0.0000, 0.0000)  2 In 2.83, 6 Nb 2.91-3.11
In (0.1680, 0.1680, 0.7482)  1 In 2.83, 7 Nb 2.93-3.10
In (0.8320, 0.8320, 0.2518)  1 In 2.83, 7 Nb 2.93-3.10
Fe (0.5000, 0.5000, 0.5000)  6 Nb 2.38-2.42

As for the density of states at the Fermi level: 9.87 states/eV per cell. For the energy relative to the elements, the calculation gives 0.397 eV per atom. For the total energy, the calculation gives -73.1 eV/f.u.


The following is a DFT calculation (PBE-GGA) of a geometry-optimized NbIn2Fe structure.

abc: 7.4677 7.4677 5.7473
angles: 90.00 90.00 90.00
Closest atoms and distances in Å follow each position.
Fractional coordinates of all 16 atoms:
Nb (0.0000, 0.0000, 0.0000)  2 Fe 2.87, 4 In 2.88
Nb (0.0000, 0.5000, 0.2500)  2 Fe 2.87, 4 In 2.88
Nb (0.5000, 0.0000, 0.7500)  2 Fe 2.87, 4 In 2.88
Nb (0.5000, 0.5000, 0.5000)  2 Fe 2.87, 4 In 2.88
In (0.2221, 0.7500, 0.6250)  2 Fe 2.60, 2 Nb 2.88, 2 In 2.90
In (0.2500, 0.2221, 0.3750)  2 Fe 2.60, 2 Nb 2.88, 2 In 2.90
In (0.2500, 0.2779, 0.8750)  2 Fe 2.60, 2 Nb 2.88, 2 In 2.90
In (0.2779, 0.7500, 0.1250)  2 Fe 2.60, 2 Nb 2.88, 2 In 2.90
In (0.7221, 0.2500, 0.1250)  2 Fe 2.60, 2 Nb 2.88, 2 In 2.90
In (0.7500, 0.7221, 0.8750)  2 Fe 2.60, 2 Nb 2.88, 2 In 2.90
In (0.7500, 0.7779, 0.3750)  2 Fe 2.60, 2 Nb 2.88, 2 In 2.90
In (0.7779, 0.2500, 0.6250)  2 Fe 2.60, 2 Nb 2.88, 2 In 2.90
Fe (0.0000, 0.0000, 0.5000)  4 In 2.60, 2 Nb 2.87
Fe (0.0000, 0.5000, 0.7500)  4 In 2.60, 2 Nb 2.87
Fe (0.5000, 0.0000, 0.2500)  4 In 2.60, 2 Nb 2.87
Fe (0.5000, 0.5000, 0.0000)  4 In 2.60, 2 Nb 2.87

As for the density of states at the Fermi level: 10.80 states/eV per cell. For the energy relative to the elements, the calculation gives 0.529 eV per atom. For the total energy, the calculation gives -21.9 eV/f.u.